<one>
Entry from Alexandria: a relaxed structure of ReAg2Mo (GGA-PBE).

Cell lengths 2.685, 4.193, 5.843 Å; angles 90.00, 90.00, 90.00 degrees
Atoms (fractional coordinates):
1 Ag 0.500 0.500 0.243
2 Ag 0.000 0.000 0.005
3 Mo 0.000 0.000 0.520
4 Re 0.500 0.500 0.731

Properties
M_tot ... 0.0 μB/cell
SG ... Pmm2


<two>
Entry from Alexandria: a relaxed structure of ReAg2Mo (GGA-PBE).

Cell lengths 4.882, 4.882, 5.308 Å; angles 85.11, 85.11, 31.41 degrees
Atoms (fractional coordinates):
1 Mo 0.497 0.497 0.476
2 Ag 0.999 0.999 0.985
3 Ag 0.749 0.749 0.765
4 Re 0.256 0.256 0.274

Properties
M_tot ... 0.0 μB/cell
SG ... Cm


Relative energies, eV/atom: <one> 0.000; <two> 0.047.


<one>
Entry from Alexandria: a relaxed structure of ReAg2Mo (GGA-PBE).

Cell lengths 9.898, 9.898, 9.898 Å; angles 16.22, 16.22, 16.22 degrees
Atoms (fractional coordinates):
1 Mo 0.496 0.496 0.496
2 Ag 0.249 0.249 0.249
3 Ag 0.002 0.002 0.002
4 Re 0.753 0.753 0.753

Properties
M_tot ... 0.0 μB/cell
SG ... R3m


<two>
Entry from Alexandria: a relaxed structure of ReAg2Mo (GGA-PBE).

Cell lengths 5.292, 5.292, 5.292 Å; angles 138.24, 138.24, 60.53 degrees
Atoms (fractional coordinates):
1 Ag 0.500 0.500 0.000
2 Ag 0.000 0.000 0.000
3 Re 0.750 0.250 0.500
4 Mo 0.250 0.750 0.500

Properties
M_tot ... 0.0 μB/cell
SG ... I4/mmm


Relative energies, eV/atom: <one> 0.000; <two> 0.256.


<one>
Entry from Alexandria: a relaxed structure of ReAg2Mo (GGA-PBE).

Cell lengths 4.848, 2.653, 5.226 Å; angles 77.31, 90.00, 90.00 degrees
Atoms (fractional coordinates):
1 Re 0.500 0.750 0.750
2 Ag 0.000 0.979 0.998
3 Ag 0.000 0.521 0.502
4 Mo 0.500 0.250 0.250

Properties
M_tot ... 0.0 μB/cell
SG ... P2/m


<two>
Entry from Alexandria: a relaxed structure of ReAg2Mo (GGA-PBE).

Cell lengths 5.169, 5.169, 4.849 Å; angles 81.66, 81.66, 30.60 degrees
Atoms (fractional coordinates):
1 Ag 0.502 0.502 0.499
2 Ag 0.998 0.998 0.001
3 Re 0.250 0.250 0.250
4 Mo 0.750 0.750 0.750

Properties
M_tot ... 0.0 μB/cell
SG ... C2/m


<three>
Entry from Alexandria: a relaxed structure of ReAg2Mo (GGA-PBE).

Cell lengths 9.915, 9.915, 9.915 Å; angles 16.09, 16.09, 16.09 degrees
Atoms (fractional coordinates):
1 Ag 0.001 0.001 0.001
2 Ag 0.499 0.499 0.499
3 Mo 0.250 0.250 0.250
4 Re 0.750 0.750 0.750

Properties
M_tot ... 0.4 μB/cell
SG ... R-3m


<four>
Entry from Alexandria: a relaxed structure of ReAg2Mo (GGA-PBE).

Cell lengths 3.705, 3.705, 10.577 Å; angles 79.91, 79.91, 90.00 degrees
Atoms (fractional coordinates):
1 Ag 0.875 0.877 0.750
2 Ag 0.375 0.373 0.750
3 Ag 0.627 0.125 0.250
4 Ag 0.123 0.625 0.250
5 Re 0.750 0.250 0.500
6 Re 0.000 0.000 0.000
7 Mo 0.250 0.750 0.500
8 Mo 0.500 0.500 0.000

Properties
M_tot ... 0.0 μB/cell
SG ... I-42d


Relative energies, eV/atom: <one> 0.037; <two> 0.000; <three> 0.063; <four> 0.351.